DFT (GGA-PBE) results for a relaxed structure of Sr6MgTl5.

Calculated values
magnetic moment	0.0	Bohr magnetons per cell
DFT formation energy	-374	meV per atom
crystal system	orthorhombic
calculated total energy	-2.3333	eV per atom

Lattice parameters (Å, degrees): 5.767 8.314 10.020 114.51 106.72 90.00
Fractional positions:
Sr: 0.831 0.579 0.663
Sr: 0.831 0.083 0.663
Sr: 0.500 0.744 0.000
Sr: 0.500 0.256 0.000
Sr: 0.169 0.917 0.337
Sr: 0.169 0.421 0.337
Mg: 0.000 0.000 0.000
Tl: 0.661 0.161 0.322
Tl: 0.333 0.333 0.666
Tl: 0.000 0.500 0.000
Tl: 0.667 0.667 0.334
Tl: 0.339 0.839 0.678



DFT (GGA-PBE) results for a relaxed structure of Sr2MgTl.

Calculated values
magnetic moment	0.0	Bohr magnetons per cell
DFT formation energy	327	meV per atom
crystal system	orthorhombic
calculated total energy	-1.5044	eV per atom

Lattice parameters (Å, degrees): 7.913 7.913 7.913 56.87 151.87 131.65
Fractional positions:
Sr: 0.000 0.262 0.262
Sr: 0.000 0.738 0.738
Mg: 0.000 0.000 0.000
Tl: 0.000 0.500 0.500



DFT (GGA-PBE) results for a relaxed structure of SrMg6Tl2.

Calculated values
magnetic moment	0.0	Bohr magnetons per cell
DFT formation energy	-112	meV per atom
crystal system	tetragonal
calculated total energy	-1.8874	eV per atom

Lattice parameters (Å, degrees): 4.681 4.681 10.884 90.00 90.00 90.00
Fractional positions:
Sr: 0.000 0.000 0.000
Mg: 0.000 0.500 0.305
Mg: 0.500 0.000 0.305
Mg: 0.000 0.500 0.695
Mg: 0.500 0.000 0.695
Mg: 0.500 0.500 0.500
Mg: 0.000 0.000 0.500
Tl: 0.500 0.500 0.139
Tl: 0.500 0.500 0.861



DFT (GGA-PBE) results for a relaxed structure of SrMgTl4.

Calculated values
polymorph energy (0 for the lowest one)	140	meV/atom
magnetic moment	0.0	Bohr magnetons per cell
DFT formation energy	-10	meV per atom
crystal system	tetragonal
calculated total energy	-2.1336	eV per atom

Lattice parameters (Å, degrees): 4.855 4.855 8.612 90.00 90.00 90.00
Fractional positions:
Sr: 0.000 0.000 0.000
Mg: 0.500 0.500 0.500
Tl: 0.500 0.000 0.707
Tl: 0.000 0.500 0.707
Tl: 0.500 0.000 0.293
Tl: 0.000 0.500 0.293